No. 1
LaHfP2S (PBEsol, optimized geometry); raw formation energy = 726.2 meV per atom; DOS(E_F) = 4.49 states/eV/cell; total magnetic moment = 0.02 Bohr magnetons per cell; space group = P4/mmm
1.0
5.113 0.000 0.000
0.000 5.113 0.000
0.000 0.000 5.166
La Hf P S
1 1 2 1
Direct
0.000 0.000 0.000
0.500 0.500 0.500
0.000 0.500 0.000
0.500 0.000 0.000
0.000 0.000 0.500

***

No. 2
La3HfPb (PBEsol, optimized geometry); calculated formation energy = 0.8520 eV/atom; DOS(E_F) = 9.37 states/eV/cell; total magnetic moment = 4.40 Bohr magnetons per cell; space group = Pm-3m
1.0
5.955 0.000 0.000
0.000 5.955 0.000
0.000 0.000 5.955
La Hf Pb
3 1 1
Direct
0.000 0.000 0.500
0.000 0.500 0.000
0.500 0.000 0.000
0.500 0.500 0.500
0.000 0.000 0.000

***

No. 3
LaHfPdPb2 (PBEsol, optimized geometry); calculated formation energy = 0.1530 eV/atom; DOS(E_F) = 5.80 states/eV/cell; total magnetic moment = 0.01 Bohr magnetons per cell; space group = P4/mmm
1.0
5.233 0.000 0.000
0.000 5.233 0.000
0.000 0.000 5.083
La Hf Pd Pb
1 1 1 2
Direct
0.000 0.000 0.000
0.500 0.500 0.000
0.500 0.500 0.500
0.000 0.500 0.500
0.500 0.000 0.500

***

No. 4
La2HfTePb (PBEsol, optimized geometry); raw formation energy = 41.7 meV per atom; DOS(E_F) = 5.02 states/eV/cell; total magnetic moment = 0.01 Bohr magnetons per cell; space group = P4/mmm
1.0
5.871 0.000 0.000
0.000 5.871 0.000
0.000 0.000 5.207
La Hf Te Pb
2 1 1 1
Direct
0.000 0.500 0.000
0.500 0.000 0.000
0.000 0.000 0.500
0.000 0.000 0.000
0.500 0.500 0.500